1.
# PBE-GGA MgHgRh2Cl, optimized geometry
data_MgHgRh2Cl
_chemical_formula_sum 'Mg1 Hg1 Rh2 Cl1'
_space_group_name_H-M_alt 'P 1'
_space_group_IT_number 1
_cell_length_a 4.7895
_cell_length_b 5.0962
_cell_length_c 4.7895
_cell_angle_alpha 90.00
_cell_angle_beta 90.00
_cell_angle_gamma 90.00
loop_
_space_group_symop_operation_xyz
'x,y,z'
loop_
_atom_site_label
_atom_site_type_symbol
_atom_site_fract_x
_atom_site_fract_y
_atom_site_fract_z
Hg1 Hg 0.0000 0.5000 0.0000
Cl1 Cl 0.5000 0.5000 0.5000
Rh1 Rh 0.5000 0.0000 0.0000
Mg1 Mg 0.0000 0.0000 0.0000
Rh2 Rh 0.0000 0.0000 0.5000
# - ΔE_f (raw): 922 meV per atom

=====

2.
# PBE-GGA MgHgRhCl2, optimized geometry
data_MgHgRhCl2
_chemical_formula_sum 'Mg1 Hg1 Rh1 Cl2'
_space_group_name_H-M_alt 'P 1'
_space_group_IT_number 1
_cell_length_a 4.5490
_cell_length_b 6.8887
_cell_length_c 4.5490
_cell_angle_alpha 90.00
_cell_angle_beta 90.00
_cell_angle_gamma 90.00
loop_
_space_group_symop_operation_xyz
'x,y,z'
loop_
_atom_site_label
_atom_site_type_symbol
_atom_site_fract_x
_atom_site_fract_y
_atom_site_fract_z
Mg1 Mg 0.0000 0.0000 0.0000
Cl1 Cl 0.0000 0.0000 0.5000
Cl2 Cl 0.5000 0.0000 0.0000
Rh1 Rh 0.5000 0.5000 0.5000
Hg1 Hg 0.0000 0.5000 0.0000
# - Energy above the most stable polymorph in this dataset: 1.6 kJ per mole of atoms
# - ΔE_f (raw): -119 meV per atom

=====

3.
# PBE-GGA MgHgRhCl2, optimized geometry
data_MgHgRhCl2
_chemical_formula_sum 'Mg1 Hg1 Rh1 Cl2'
_space_group_name_H-M_alt 'P 1'
_space_group_IT_number 1
_cell_length_a 4.6216
_cell_length_b 5.8373
_cell_length_c 4.6216
_cell_angle_alpha 90.00
_cell_angle_beta 90.00
_cell_angle_gamma 90.00
loop_
_space_group_symop_operation_xyz
'x,y,z'
loop_
_atom_site_label
_atom_site_type_symbol
_atom_site_fract_x
_atom_site_fract_y
_atom_site_fract_z
Cl1 Cl 0.0000 0.0000 0.5000
Rh1 Rh 0.0000 0.5000 0.0000
Mg1 Mg 0.0000 0.0000 0.0000
Hg1 Hg 0.5000 0.5000 0.5000
Cl2 Cl 0.5000 0.0000 0.0000
# - Energy above the most stable polymorph in this dataset: 0.0 kJ per mole of atoms
# - ΔE_f (raw): -136 meV per atom

=====

4.
# PBE-GGA MgHgSCl2, optimized geometry
data_MgHgSCl2
_chemical_formula_sum 'Mg1 Hg1 S1 Cl2'
_space_group_name_H-M_alt 'P 1'
_space_group_IT_number 1
_cell_length_a 4.6995
_cell_length_b 4.6995
_cell_length_c 5.4559
_cell_angle_alpha 90.00
_cell_angle_beta 90.00
_cell_angle_gamma 90.00
loop_
_space_group_symop_operation_xyz
'x,y,z'
loop_
_atom_site_label
_atom_site_type_symbol
_atom_site_fract_x
_atom_site_fract_y
_atom_site_fract_z
Mg1 Mg 0.0000 0.0000 0.0000
S1 S 0.0000 0.0000 0.5000
Hg1 Hg 0.5000 0.5000 0.5000
Cl1 Cl 0.5000 0.0000 0.0000
Cl2 Cl 0.0000 0.5000 0.0000
# - Energy above the most stable polymorph in this dataset: 0.0 kJ per mole of atoms
# - ΔE_f (raw): -615 meV per atom

=====

5.
# PBE-GGA MgHgSCl2, optimized geometry
data_MgHgSCl2
_chemical_formula_sum 'Mg1 Hg1 S1 Cl2'
_space_group_name_H-M_alt 'P 1'
_space_group_IT_number 1
_cell_length_a 5.1611
_cell_length_b 5.1611
_cell_length_c 5.1386
_cell_angle_alpha 90.00
_cell_angle_beta 90.00
_cell_angle_gamma 90.00
loop_
_space_group_symop_operation_xyz
'x,y,z'
loop_
_atom_site_label
_atom_site_type_symbol
_atom_site_fract_x
_atom_site_fract_y
_atom_site_fract_z
S1 S 0.0000 0.0000 0.5000
Cl1 Cl 0.0000 0.5000 0.0000
Mg1 Mg 0.5000 0.5000 0.5000
Cl2 Cl 0.5000 0.0000 0.0000
Hg1 Hg 0.0000 0.0000 0.0000
# - Energy above the most stable polymorph in this dataset: 47.0 kJ per mole of atoms
# - ΔE_f (raw): -128 meV per atom

=====

6.
# PBE-GGA MgHgS2Cl, optimized geometry
data_MgHgS2Cl
_chemical_formula_sum 'Mg1 Hg1 S2 Cl1'
_space_group_name_H-M_alt 'P 1'
_space_group_IT_number 1
_cell_length_a 5.0008
_cell_length_b 5.0008
_cell_length_c 5.1847
_cell_angle_alpha 90.00
_cell_angle_beta 90.00
_cell_angle_gamma 90.00
loop_
_space_group_symop_operation_xyz
'x,y,z'
loop_
_atom_site_label
_atom_site_type_symbol
_atom_site_fract_x
_atom_site_fract_y
_atom_site_fract_z
Cl1 Cl 0.0000 0.0000 0.5000
Mg1 Mg 0.5000 0.5000 0.5000
Hg1 Hg 0.0000 0.0000 0.0000
S1 S 0.5000 0.0000 0.0000
S2 S 0.0000 0.5000 0.0000
# - Energy above the most stable polymorph in this dataset: 30.6 kJ per mole of atoms
# - ΔE_f (raw): 175 meV per atom